Entry 1:
# Be2Br

A geometry-optimized Be2Br structure (GGA-PBE, Alexandria via LeMat-Bulk).

Calculated values
For the relative energy among the computed polymorphs, the calculation gives 4.779 eV per formula unit. For the uncorrected formation energy, the calculation gives 1.4716 eV/atom.

Cell: 4.2711 4.2711 4.2711 Å, 60.00 60.00 60.00°
Element x y z (fractional)
Be1 0.7500 0.7500 0.7500
Be2 0.2500 0.2500 0.2500
Br1 0.0000 0.0000 0.0000

=====

Entry 2:
# BeBr2

A geometry-optimized BeBr2 structure (GGA-PBE, Alexandria via LeMat-Bulk).

Calculated values
For the relative energy among the computed polymorphs, the calculation gives 0.967 eV per formula unit. For the uncorrected formation energy, the calculation gives -0.7001 eV/atom.

Cell: 8.7858 8.7858 5.7259 Å, 90.00 90.00 157.91°
Element x y z (fractional)
Be1 0.8094 0.1906 0.7500
Be2 0.1906 0.8094 0.2500
Br1 0.2086 0.7914 0.7500
Br2 0.3966 0.6034 0.7500
Br3 0.6034 0.3966 0.2500
Br4 0.7914 0.2086 0.2500

=====

Entry 3:
# BeBr2

A geometry-optimized BeBr2 structure (GGA-PBE, Alexandria via LeMat-Bulk).

Calculated values
For the relative energy among the computed polymorphs, the calculation gives 0.553 eV per formula unit. For the uncorrected formation energy, the calculation gives -0.8380 eV/atom.

Cell: 3.5570 10.1180 11.6139 Å, 90.00 90.00 90.00°
Element x y z (fractional)
Be1 0.2500 0.6919 0.5868
Be2 0.7500 0.8081 0.0868
Be3 0.2500 0.1919 0.9132
Be4 0.7500 0.3081 0.4132
Br1 0.2500 0.0284 0.8177
Br2 0.7500 0.4716 0.3177
Br3 0.2500 0.5284 0.6823
Br4 0.7500 0.9716 0.1823
Br5 0.2500 0.2014 0.4693
Br6 0.7500 0.2986 0.9693
Br7 0.2500 0.7014 0.0307
Br8 0.7500 0.7986 0.5307

=====

Entry 4:
# BeBr

A geometry-optimized BeBr structure (GGA-PBE, Alexandria via LeMat-Bulk).

Calculated values
For the relative energy among the computed polymorphs, the calculation gives 0.000 eV per formula unit. For the uncorrected formation energy, the calculation gives -0.4047 eV/atom.

Cell: 4.1422 9.1100 12.3930 Å, 90.00 90.00 90.00°
Element x y z (fractional)
Be1 0.5130 0.1905 0.9653
Be2 0.0130 0.3095 0.0347
Be3 0.4870 0.6905 0.5347
Be4 0.9870 0.8095 0.4653
Be5 0.9871 0.6314 0.5679
Be6 0.4871 0.8686 0.4321
Be7 0.0129 0.1314 0.9321
Be8 0.5129 0.3686 0.0679
Br1 0.7821 0.8362 0.2955
Br2 0.2821 0.6638 0.7045
Br3 0.2179 0.3362 0.2045
Br4 0.7179 0.1638 0.7955
Br5 0.3066 0.9592 0.9903
Br6 0.8066 0.5408 0.0097
Br7 0.6934 0.4592 0.5097
Br8 0.1934 0.0408 0.4903

=====

Entry 5:
# BeBr

A geometry-optimized BeBr structure (GGA-PBE, Alexandria via LeMat-Bulk).

Calculated values
For the relative energy among the computed polymorphs, the calculation gives 0.926 eV per formula unit. For the uncorrected formation energy, the calculation gives 0.0582 eV/atom.

Cell: 3.3367 3.3367 8.8634 Å, 90.00 90.00 120.00°
Element x y z (fractional)
Be1 0.0000 0.0000 0.0114
Be2 0.6667 0.3333 0.2386
Br1 0.0000 0.0000 0.3936
Br2 0.6667 0.3333 0.8564

=====

Entry 6:
# Be8Br

A geometry-optimized Be8Br structure (GGA-PBE, Alexandria via LeMat-Bulk).

Calculated values
For the uncorrected formation energy, the calculation gives 0.5883 eV/atom.

Cell: 5.7105 5.7105 5.7105 Å, 94.27 94.27 148.35°
Element x y z (fractional)
Be1 0.3126 0.6874 0.0000
Be2 0.6874 0.3126 0.0000
Be3 0.0000 0.3555 0.3555
Be4 0.6874 0.6874 0.3749
Be5 0.3555 0.0000 0.3555
Be6 0.3126 0.3126 0.6251
Be7 0.0000 0.6445 0.6445
Be8 0.6445 0.0000 0.6445
Br1 0.0000 0.0000 0.0000

=====

Entry 7:
# BeBr

A geometry-optimized BeBr structure (GGA-PBE, Alexandria via LeMat-Bulk).

Calculated values
For the relative energy among the computed polymorphs, the calculation gives 0.297 eV per formula unit. For the uncorrected formation energy, the calculation gives -0.2561 eV/atom.

Cell: 10.8035 10.8035 3.4931 Å, 90.00 90.00 120.00°
Site moments in Bohr magnetons follow the coordinates.
Element x y z (fractional)
Be1 0.4577 0.7703 0.2500  0.12
Be2 0.6874 0.4577 0.7500  0.12
Be3 0.2297 0.6874 0.2500  0.12
Be4 0.5423 0.2297 0.7500  0.12
Be5 0.3126 0.5423 0.2500  0.12
Be6 0.7703 0.3126 0.7500  0.12
Br1 0.8766 0.2920 0.2500  0.01
Br2 0.5846 0.8766 0.7500  0.01
Br3 0.7080 0.5846 0.2500  0.01
Br4 0.1234 0.7080 0.7500  0.01
Br5 0.4154 0.1234 0.2500  0.01
Br6 0.2920 0.4154 0.7500  0.01

=====

Entry 8:
# Be2Br

A geometry-optimized Be2Br structure (GGA-PBE, Alexandria via LeMat-Bulk).

Calculated values
For the relative energy among the computed polymorphs, the calculation gives 3.226 eV per formula unit. For the uncorrected formation energy, the calculation gives 0.9539 eV/atom.

Cell: 3.7960 3.7960 4.1775 Å, 90.00 90.00 120.00°
Element x y z (fractional)
Be1 0.3333 0.6667 0.5000
Be2 0.6667 0.3333 0.5000
Br1 0.0000 0.0000 0.0000

=====

Entry 9:
# Be2Br

A geometry-optimized Be2Br structure (GGA-PBE, Alexandria via LeMat-Bulk).

Calculated values
For the relative energy among the computed polymorphs, the calculation gives 3.454 eV per formula unit. For the uncorrected formation energy, the calculation gives 1.0296 eV/atom.

Cell: 5.0375 5.0375 4.5177 Å, 90.00 90.00 120.00°
Element x y z (fractional)
Be1 0.0000 0.0000 0.0000
Be2 0.0000 0.0000 0.5000
Be3 0.3333 0.6667 0.2500
Be4 0.6667 0.3333 0.7500
Br1 0.6667 0.3333 0.2500
Br2 0.3333 0.6667 0.7500

=====

Entry 10:
# BeBr

A geometry-optimized BeBr structure (GGA-PBE, Alexandria via LeMat-Bulk).

Calculated values
For the relative energy among the computed polymorphs, the calculation gives 0.563 eV per formula unit. For the uncorrected formation energy, the calculation gives -0.1231 eV/atom.

Cell: 8.9355 8.9355 8.9355 Å, 21.72 21.72 21.72°
Element x y z (fractional)
Be1 0.0065 0.0065 0.0065
Be2 0.7435 0.7435 0.7435
Br1 0.4596 0.4596 0.4596
Br2 0.2904 0.2904 0.2904

=====

Entry 11:
# BeBr2

A geometry-optimized BeBr2 structure (GGA-PBE, Alexandria via LeMat-Bulk).

Calculated values
For the relative energy among the computed polymorphs, the calculation gives 0.898 eV per formula unit. For the uncorrected formation energy, the calculation gives -0.7231 eV/atom.

Cell: 6.4998 4.0744 8.2681 Å, 61.91 42.38 87.13°
Element x y z (fractional)
Be1 0.3977 0.8304 0.5560
Br1 0.4068 0.3004 0.3154
Br2 0.3886 0.3604 0.7965

=====

Entry 12:
# Be4Br3

A geometry-optimized Be4Br3 structure (GGA-PBE, Alexandria via LeMat-Bulk).

Calculated values
For the uncorrected formation energy, the calculation gives 0.7421 eV/atom.

Cell: 6.7304 6.7304 3.7583 Å, 90.00 90.00 120.00°
Element x y z (fractional)
Be1 0.0000 0.0000 0.2477
Be2 0.0000 0.0000 0.7523
Be3 0.6667 0.3333 0.5000
Be4 0.3333 0.6667 0.5000
Br1 0.0000 0.5000 0.0000
Br2 0.5000 0.5000 0.0000
Br3 0.5000 0.0000 0.0000